[1]
# CaYPa2O8, relaxed, DFT PBE-GGA
data_CaYPa2O8
_symmetry_space_group_name_H-M 'P 1'
_symmetry_Int_Tables_number 1
_cell_length_a 6.610
_cell_length_b 6.610
_cell_length_c 6.610
_cell_angle_alpha 131.40
_cell_angle_beta 131.40
_cell_angle_gamma 71.18
loop_
_symmetry_equiv_pos_as_xyz
'x,y,z'
loop_
_atom_site_label
_atom_site_type_symbol
_atom_site_fract_x
_atom_site_fract_y
_atom_site_fract_z
Ca1 Ca 0.000 0.000 0.000
Y1 Y 0.250 0.750 0.500
Pa1 Pa 0.500 0.500 0.000
Pa2 Pa 0.750 0.250 0.500
O1 O 0.127 0.139 0.520
O2 O 0.127 0.607 0.988
O3 O 0.393 0.381 0.520
O4 O 0.393 0.873 0.012
O5 O 0.619 0.139 0.012
O6 O 0.619 0.607 0.480
O7 O 0.861 0.381 0.988
O8 O 0.861 0.873 0.480
# * DOS(E_F): 11.0 states/eV/cell
# * E_form (uncorrected): -3.387 eV/atom
# * crystal system: tetragonal

***

[2]
# Ca2YPaO6, relaxed, DFT PBE-GGA
data_Ca2YPaO6
_symmetry_space_group_name_H-M 'P 1'
_symmetry_Int_Tables_number 1
_cell_length_a 6.103
_cell_length_b 6.103
_cell_length_c 6.103
_cell_angle_alpha 57.67
_cell_angle_beta 57.67
_cell_angle_gamma 57.67
loop_
_symmetry_equiv_pos_as_xyz
'x,y,z'
loop_
_atom_site_label
_atom_site_type_symbol
_atom_site_fract_x
_atom_site_fract_y
_atom_site_fract_z
Ca1 Ca 0.000 0.000 0.000
Ca2 Ca 0.497 0.497 0.497
Y1 Y 0.279 0.279 0.279
Pa1 Pa 0.783 0.783 0.783
O1 O 0.065 0.419 0.660
O2 O 0.150 0.904 0.578
O3 O 0.419 0.660 0.065
O4 O 0.578 0.150 0.904
O5 O 0.660 0.065 0.419
O6 O 0.904 0.578 0.150
# * DOS(E_F): 0.0 states/eV/cell
# * E_form (uncorrected): -3.389 eV/atom
# * crystal system: trigonal

***

[3]
# CaY2PaO6, relaxed, DFT PBE-GGA
data_CaY2PaO6
_symmetry_space_group_name_H-M 'P 1'
_symmetry_Int_Tables_number 1
_cell_length_a 6.121
_cell_length_b 6.121
_cell_length_c 6.121
_cell_angle_alpha 57.75
_cell_angle_beta 57.75
_cell_angle_gamma 57.75
loop_
_symmetry_equiv_pos_as_xyz
'x,y,z'
loop_
_atom_site_label
_atom_site_type_symbol
_atom_site_fract_x
_atom_site_fract_y
_atom_site_fract_z
Ca1 Ca 0.000 0.000 0.000
Y1 Y 0.280 0.280 0.280
Y2 Y 0.782 0.782 0.782
Pa1 Pa 0.495 0.495 0.495
O1 O 0.103 0.666 0.405
O2 O 0.184 0.585 0.889
O3 O 0.405 0.103 0.666
O4 O 0.585 0.889 0.184
O5 O 0.666 0.405 0.103
O6 O 0.889 0.184 0.585
# * DOS(E_F): 3.3 states/eV/cell
# * E_form (uncorrected): -3.362 eV/atom
# * crystal system: trigonal

***

[4]
# CaPaZn2O6, relaxed, DFT PBE-GGA
data_CaPaZn2O6
_symmetry_space_group_name_H-M 'P 1'
_symmetry_Int_Tables_number 1
_cell_length_a 5.462
_cell_length_b 5.598
_cell_length_c 5.792
_cell_angle_alpha 64.40
_cell_angle_beta 64.79
_cell_angle_gamma 61.21
loop_
_symmetry_equiv_pos_as_xyz
'x,y,z'
loop_
_atom_site_label
_atom_site_type_symbol
_atom_site_fract_x
_atom_site_fract_y
_atom_site_fract_z
Ca1 Ca 0.000 0.000 0.000
Pa1 Pa 0.507 0.504 0.475
Zn1 Zn 0.235 0.183 0.359
Zn2 Zn 0.721 0.752 0.821
O1 O 0.100 0.811 0.659
O2 O 0.299 0.552 0.213
O3 O 0.414 0.101 0.660
O4 O 0.578 0.894 0.162
O5 O 0.758 0.448 0.706
O6 O 0.913 0.306 0.214
# * DOS(E_F): 8.1 states/eV/cell
# * E_form (uncorrected): -2.305 eV/atom
# * crystal system: triclinic

***

[5]
# CaPaZnO6, relaxed, DFT PBE-GGA
data_CaPaZnO6
_symmetry_space_group_name_H-M 'P 1'
_symmetry_Int_Tables_number 1
_cell_length_a 5.527
_cell_length_b 5.527
_cell_length_c 4.781
_cell_angle_alpha 90.00
_cell_angle_beta 90.00
_cell_angle_gamma 120.00
loop_
_symmetry_equiv_pos_as_xyz
'x,y,z'
loop_
_atom_site_label
_atom_site_type_symbol
_atom_site_fract_x
_atom_site_fract_y
_atom_site_fract_z
Ca1 Ca 0.000 0.000 0.000
Pa1 Pa 0.667 0.333 0.500
Zn1 Zn 0.333 0.667 0.000
O1 O 0.003 0.371 0.241
O2 O 0.003 0.632 0.759
O3 O 0.368 0.371 0.759
O4 O 0.368 0.997 0.241
O5 O 0.629 0.632 0.241
O6 O 0.629 0.997 0.759
# * DOS(E_F): 7.4 states/eV/cell
# * E_form (uncorrected): -2.020 eV/atom
# * crystal system: trigonal

***

[6]
# CaPaZnO5, relaxed, DFT PBE-GGA
data_CaPaZnO5
_symmetry_space_group_name_H-M 'P 1'
_symmetry_Int_Tables_number 1
_cell_length_a 5.938
_cell_length_b 5.938
_cell_length_c 8.049
_cell_angle_alpha 103.76
_cell_angle_beta 103.76
_cell_angle_gamma 108.46
loop_
_symmetry_equiv_pos_as_xyz
'x,y,z'
loop_
_atom_site_label
_atom_site_type_symbol
_atom_site_fract_x
_atom_site_fract_y
_atom_site_fract_z
Ca1 Ca 0.165 0.835 0.750
Ca2 Ca 0.835 0.165 0.250
Pa1 Pa 0.500 0.500 0.000
Pa2 Pa 0.500 0.500 0.500
Zn1 Zn 0.182 0.818 0.250
Zn2 Zn 0.818 0.182 0.750
O1 O 0.135 0.217 0.918
O2 O 0.183 0.578 0.377
O3 O 0.217 0.135 0.418
O4 O 0.408 0.592 0.750
O5 O 0.422 0.817 0.123
O6 O 0.578 0.183 0.877
O7 O 0.592 0.408 0.250
O8 O 0.783 0.865 0.582
O9 O 0.817 0.422 0.623
O10 O 0.865 0.783 0.082
# * DOS(E_F): 13.6 states/eV/cell
# * E_form (uncorrected): -2.577 eV/atom
# * crystal system: monoclinic